A geometry-optimized Th3Be2GaRh9 structure, computed with PBE.

a b c (Å): 6.2279 6.2279 7.5981
angles (deg): 90.00 90.00 120.00
Closest atoms and distances in Å follow each position.
Element x y z (fractional)
Th 0.0000 0.0000 0.0000  12 Rh 3.10-3.11
Th 0.3333 0.6667 0.6682  12 Rh 3.10-3.13
Th 0.6667 0.3333 0.3318  12 Rh 3.10-3.13
Be 0.3333 0.6667 0.1466  6 Rh 2.11-2.14
Be 0.6667 0.3333 0.8534  6 Rh 2.11-2.14
Ga 0.0000 0.0000 0.5000  6 Rh 2.35
Rh 0.0000 0.5000 0.0000  2 Be 2.11
Rh 0.1773 0.3546 0.3208  1 Be 2.14, 1 Ga 2.35
Rh 0.1773 0.8227 0.3208  1 Be 2.14, 1 Ga 2.35
Rh 0.3546 0.1773 0.6792  1 Be 2.14, 1 Ga 2.35
Rh 0.5000 0.0000 0.0000  2 Be 2.11
Rh 0.5000 0.5000 0.0000  2 Be 2.11
Rh 0.6454 0.8227 0.3208  1 Be 2.14, 1 Ga 2.35
Rh 0.8227 0.1773 0.6792  1 Be 2.14, 1 Ga 2.35
Rh 0.8227 0.6454 0.6792  1 Be 2.14, 1 Ga 2.35

A geometry-optimized Th2BeGaRh6 structure, computed with PBE.

a b c (Å): 6.2783 6.2783 6.2783
angles (deg): 60.00 60.00 60.00
Closest atoms and distances in Å follow each position.
Element x y z (fractional)
Th 0.2500 0.2500 0.2500  12 Rh 3.14
Th 0.7500 0.7500 0.7500  12 Rh 3.14
Be 0.0000 0.0000 0.0000  6 Rh 2.11
Ga 0.5000 0.5000 0.5000  6 Rh 2.33
Rh 0.2371 0.2371 0.7629  1 Be 2.11, 1 Ga 2.33
Rh 0.2371 0.7629 0.2371  1 Be 2.11, 1 Ga 2.33
Rh 0.2371 0.7629 0.7629  1 Be 2.11, 1 Ga 2.33
Rh 0.7629 0.2371 0.2371  1 Be 2.11, 1 Ga 2.33
Rh 0.7629 0.2371 0.7629  1 Be 2.11, 1 Ga 2.33
Rh 0.7629 0.7629 0.2371  1 Be 2.11, 1 Ga 2.33

DFT total energy values (in eV per atom) by entry order: -7.295; -7.224.
Calculated volume values (in Å³ per atom) by entry order: 17.01; 17.50.
Formation energy values (in eV/atom) by entry order: -0.702; -0.654.